# 1
Pr2ScAs | PBE-GGA | optimized geometry

Lattice parameters (Å, degrees): 3.9013 3.9013 10.4310 79.22 79.22 60.00
Fractional positions:
1 Pr 0.1073 0.1073 0.6781
2 Pr 0.8927 0.8927 0.3219
3 Sc 0.0000 0.0000 0.0000
4 As 0.5000 0.5000 0.5000

## Properties
- Energy of formation from the pure elements: -253 meV per atom
- Density: 4.97 g/cm³
- Space group: R-3m (166)


# 2
Mg3ZrPa2N6 | PBE-GGA | optimized geometry

Lattice parameters (Å, degrees): 3.3400 6.5112 7.4751 100.61 102.91 90.00
Fractional positions:
1 Mg 0.5000 0.5000 0.0000
2 Mg 0.8460 0.1773 0.6920
3 Mg 0.1540 0.8227 0.3080
4 Zr 0.5000 0.0000 0.0000
5 Pa 0.8319 0.6683 0.6639
6 Pa 0.1681 0.3317 0.3361
7 N 0.3430 0.9260 0.6860
8 N 0.6571 0.5836 0.3143
9 N 0.6570 0.0740 0.3140
10 N 0.0070 0.2416 0.0140
11 N 0.9930 0.7584 0.9860
12 N 0.3429 0.4164 0.6857

## Properties
- Density: 7.58 g/cm³
- Space group: C2/m (12)
- Uncorrected formation energy: -1413 kJ/mol of formula units


# 3
CaMg2Ir | PBE-GGA | optimized geometry

Lattice parameters (Å, degrees): 4.2616 4.2610 4.4883 90.00 90.00 90.00
Fractional positions:
1 Ca 0.5000 0.0000 0.5000
2 Ir 0.0000 0.5000 0.5000
3 Mg 0.0000 0.0000 0.0000
4 Mg 0.5000 0.5000 0.0000

## Properties
- Energy of formation from the pure elements: -103 meV per atom
- Density: 5.72 g/cm³
- Space group: P4/mmm (123)


# 4
CaZr2 | PBE-GGA | optimized geometry

Lattice parameters (Å, degrees): 3.3343 3.3343 8.4514 90.00 90.00 120.00
Fractional positions:
1 Ca 0.0000 0.0000 0.0000
2 Zr 0.6667 0.3333 0.6430
3 Zr 0.3333 0.6667 0.3570

## Properties
- Energy of formation from the pure elements: 246 meV per atom
- Density: 4.54 g/cm³
- Space group: P-3m1 (164)
- Polymorph energy (0 for the lowest one): 93 meV per atom


Look up the density of the second one. 7.58 g/cm³


Among the records above, which one has the highest density? Mg3ZrPa2N6


Number 2 is which compound? Mg3ZrPa2N6


The lowest density belongs to which entry? CaZr2